# HgPd2Pt PBE relaxed
data_HgPd2Pt
_cell_length_a 4.801
_cell_length_b 4.801
_cell_length_c 2.904
_cell_angle_alpha 90.00
_cell_angle_beta 90.00
_cell_angle_gamma 90.00
_space_group_name_H-M_alt 'P 1'
_space_group_IT_number 1
loop_
_space_group_symop_operation_xyz
'x,y,z'
loop_
_atom_site_label
_atom_site_type_symbol
_atom_site_fract_x
_atom_site_fract_y
_atom_site_fract_z
Hg1 Hg 0.000 0.000 0.000
Pd1 Pd 0.000 0.500 0.500
Pd2 Pd 0.500 0.000 0.500
Pt1 Pt 0.500 0.500 0.000
# DFT total energy: -16.970 eV per cell
# Symmetry: P4/mmm, No. 123
# Calculated volume: 66.9 Å³ per cell
# Fermi-level density of states: 2.84 states/eV/f.u.
# Formation enthalpy at 0 K: -0.06 eV per atom

# Hg3Pd3Pt PBE relaxed
data_Hg3Pd3Pt
_cell_length_a 6.625
_cell_length_b 6.625
_cell_length_c 6.030
_cell_angle_alpha 90.00
_cell_angle_beta 90.00
_cell_angle_gamma 90.51
_space_group_name_H-M_alt 'P 1'
_space_group_IT_number 1
loop_
_space_group_symop_operation_xyz
'x,y,z'
loop_
_atom_site_label
_atom_site_type_symbol
_atom_site_fract_x
_atom_site_fract_y
_atom_site_fract_z
Hg1 Hg 0.183 0.183 0.500
Hg2 Hg 0.239 0.761 0.000
Hg3 Hg 0.246 0.246 0.000
Hg4 Hg 0.754 0.754 0.000
Hg5 Hg 0.761 0.239 0.000
Hg6 Hg 0.817 0.817 0.500
Pd1 Pd 0.000 0.500 0.257
Pd2 Pd 0.000 0.500 0.743
Pd3 Pd 0.500 0.000 0.257
Pd4 Pd 0.500 0.000 0.743
Pd5 Pd 0.500 0.500 0.269
Pd6 Pd 0.500 0.500 0.731
Pt1 Pt 0.244 0.756 0.500
Pt2 Pt 0.756 0.244 0.500
# DFT total energy: -45.908 eV per cell
# Symmetry: Cmmm, No. 65
# Calculated volume: 264.7 Å³ per cell
# Fermi-level density of states: 3.88 states/eV/f.u.
# Formation enthalpy at 0 K: -0.06 eV per atom